An optimized crystal structure of Rb2BSbOs, computed with PBE.

Structure (POSCAR):
```
Rb2BSbOs
1.0
6.8751 0.0000 0.0000
0.0000 4.9355 0.0000
0.0000 0.0000 6.8751
Sb Os Rb B
1 1 2 1
Cartesian
0.0000 0.0000 0.0000 Sb
0.0000 2.4677 0.0000 Os
0.0000 0.0000 3.4376 Rb
3.4376 0.0000 0.0000 Rb
3.4376 2.4677 3.4376 B
```

Results
Uncorrected formation energy in meV per atom: 1709
Energy in eV/atom: -3.08
Density of states at the Fermi level in states/eV/atom: 2.434
Density in g/cm³: 3.5

=====

An optimized crystal structure of RbBOsSe2, computed with PBE.

Structure (POSCAR):
```
RbBOsSe2
1.0
-2.2421 -2.0405 -3.9648
-3.8266 -1.3978 2.8833
-1.8794 3.5589 -0.7688
Rb Os Se B
1 1 2 1
Cartesian
-3.9740 0.0603 -0.9252 Rb
-0.9397 1.7795 -0.3844 Os
-1.1210 -1.0202 -1.9824 Se
-1.9133 -0.6989 1.4416 Se
0.0000 0.0000 0.0000 B
```

Results
Uncorrected formation energy in meV per atom: 753
Energy in eV/atom: -4.42
Density of states at the Fermi level in states/eV/atom: 1.015
Density in g/cm³: 7.2

=====

An optimized crystal structure of Rb2SrBOs, computed with PBE.

Structure (POSCAR):
```
Rb2SrBOs
1.0
-1.4198 2.0853 -5.8304
-3.3301 -4.4953 -0.7968
-4.9321 3.2357 2.3583
Os Sr B Rb
1 1 1 2
Cartesian
0.0000 0.0000 0.0000 Os
-1.6650 -2.2476 -0.3984 Sr
-4.8410 0.4128 -2.1344 B
-0.7099 1.0426 -2.9152 Rb
-2.4661 1.6178 1.1792 Rb
```

Results
Calculated formation energy in eV/atom: 1.849
Energy in eV/atom: -2.46
Density of states at the Fermi level in states/eV/atom: 1.233
Density in g/cm³: 3.3